Entry 1:
Entry from Alexandria: an optimized crystal structure of LaCd2Cu (PBE).

Lattice parameters (Å, degrees): 4.3623 4.3623 5.1801 90.00 90.00 90.00
Fractional coordinates of all 4 atoms:
La (0.0000, 0.0000, 0.0000)
Cd (0.0000, 0.5000, 0.5000)
Cd (0.5000, 0.0000, 0.5000)
Cu (0.5000, 0.5000, 0.0000)

## Properties
Magnetization = 0.0 μB per cell
Space-group type = P4/mmm
Volume = 24.64 A^3/atom
Total DFT energy (no corrections) = -11.16 eV/cell
Formation energy from the elements = -0.077 eV/atom

---

Entry 2:
Entry from Alexandria: an optimized crystal structure of La2Cd2Cu (PBE).

Lattice parameters (Å, degrees): 3.9668 3.9668 18.1433 90.00 90.00 90.00
Fractional coordinates of all 10 atoms:
La (0.0000, 0.0000, 0.0879)
La (0.0000, 0.0000, 0.9121)
La (0.5000, 0.5000, 0.4121)
La (0.5000, 0.5000, 0.5879)
Cd (0.0000, 0.5000, 0.2500)
Cd (0.0000, 0.5000, 0.7500)
Cd (0.5000, 0.0000, 0.2500)
Cd (0.5000, 0.0000, 0.7500)
Cu (0.0000, 0.0000, 0.5000)
Cu (0.5000, 0.5000, 0.0000)

## Properties
Magnetization = 0.0 μB per cell
E above lowest polymorph = 0.134 eV per atom
Space-group type = I4/mmm
Volume = 28.55 A^3/atom
Total DFT energy (no corrections) = -31.44 eV/cell
Formation energy from the elements = 0.012 eV/atom

---

Entry 3:
Entry from Alexandria: an optimized crystal structure of La12CdCu5 (PBE).

Lattice parameters (Å, degrees): 8.8846 8.8846 8.8846 112.46 110.02 106.00
Fractional coordinates of all 18 atoms:
La (0.0470, 0.2342, 0.8128)
La (0.1750, 0.2756, 0.4506)
La (0.1750, 0.7244, 0.8994)
La (0.3238, 0.0195, 0.6957)
La (0.3238, 0.6281, 0.3043)
La (0.4215, 0.2342, 0.1872)
La (0.5785, 0.7658, 0.8128)
La (0.6762, 0.3719, 0.6957)
La (0.6762, 0.9805, 0.3043)
La (0.8250, 0.2756, 0.1006)
La (0.8250, 0.7244, 0.5494)
La (0.9530, 0.7658, 0.1872)
Cd (0.5000, 0.5000, 0.0000)
Cu (0.0000, 0.0000, 0.0000)
Cu (0.1183, 0.6183, 0.5000)
Cu (0.3581, 0.0000, 0.3581)
Cu (0.6419, 0.0000, 0.6419)
Cu (0.8817, 0.3817, 0.5000)

## Properties
Magnetization = 0.0 μB per cell
Space-group type = Immm
Volume = 29.90 A^3/atom
Total DFT energy (no corrections) = -82.46 eV/cell
Formation energy from the elements = -0.107 eV/atom

---

Entry 4:
Entry from Alexandria: an optimized crystal structure of LaCd4Cu (PBE).

Lattice parameters (Å, degrees): 5.8823 5.8823 5.8823 60.00 60.00 60.00
Fractional coordinates of all 6 atoms:
La (0.0000, 0.0000, 0.0000)
Cd (0.1265, 0.6245, 0.6245)
Cd (0.6245, 0.1265, 0.6245)
Cd (0.6245, 0.6245, 0.1265)
Cd (0.6245, 0.6245, 0.6245)
Cu (0.2500, 0.2500, 0.2500)

## Properties
Magnetization = 0.0 μB per cell
E above lowest polymorph = 0.226 eV per atom
Space-group type = F-43m
Volume = 23.99 A^3/atom
Total DFT energy (no corrections) = -12.62 eV/cell
Formation energy from the elements = 0.011 eV/atom